This record from the Alexandria database describes a relaxed Dy3Co3Si crystal. The functional is PBE-GGA.

Output
ΔE_f (raw): -0.407 eV per atom

a b c (Å): 4.033 5.491 12.895
angles (deg): 85.46 81.00 68.46
Element x y z (fractional)
Co (0.049, 0.132, 0.770)
Co (0.904, 0.116, 0.077)
Co (0.175, 0.184, 0.465)
Co (0.096, 0.884, 0.923)
Co (0.825, 0.816, 0.535)
Co (0.951, 0.868, 0.230)
Dy (0.252, 0.271, 0.225)
Dy (0.608, 0.708, 0.076)
Dy (0.472, 0.674, 0.382)
Dy (0.748, 0.729, 0.775)
Dy (0.528, 0.326, 0.618)
Dy (0.392, 0.292, 0.924)
Si (0.241, 0.906, 0.611)
Si (0.759, 0.094, 0.389)

This record from the Alexandria database describes a relaxed DyCo9Si3 crystal. The functional is PBE-GGA.

Output
ΔE_f (raw): -0.338 eV per atom

a b c (Å): 4.723 6.125 6.244
angles (deg): 81.98 67.78 68.35
Element x y z (fractional)
Si (0.000, 0.000, 0.500)
Si (0.500, 0.500, 0.000)
Si (0.500, 0.000, 0.500)
Co (0.496, 0.775, 0.229)
Co (0.995, 0.649, 0.355)
Co (0.351, 0.649, 0.645)
Co (0.649, 0.351, 0.355)
Co (0.005, 0.351, 0.645)
Co (0.000, 0.500, 0.000)
Co (0.275, 0.225, 0.229)
Co (0.504, 0.225, 0.771)
Co (0.725, 0.775, 0.771)
Dy (0.000, 0.000, 0.000)

- Which value of ΔE_f (raw) does entry 2 give?
  -0.338 eV per atom

- What is the formula in the second record?
  DyCo9Si3

Copy entry 2 word for word.
This record from the Alexandria database describes a relaxed DyCo9Si3 crystal. The functional is PBE-GGA.

Output
ΔE_f (raw): -0.338 eV per atom

a b c (Å): 4.723 6.125 6.244
angles (deg): 81.98 67.78 68.35
Element x y z (fractional)
Si (0.000, 0.000, 0.500)
Si (0.500, 0.500, 0.000)
Si (0.500, 0.000, 0.500)
Co (0.496, 0.775, 0.229)
Co (0.995, 0.649, 0.355)
Co (0.351, 0.649, 0.645)
Co (0.649, 0.351, 0.355)
Co (0.005, 0.351, 0.645)
Co (0.000, 0.500, 0.000)
Co (0.275, 0.225, 0.229)
Co (0.504, 0.225, 0.771)
Co (0.725, 0.775, 0.771)
Dy (0.000, 0.000, 0.000)

- Which of these has the lowest ΔE_f (raw)?
  Dy3Co3Si